[1]
VASP calculation (PBE) on crystalline CsK2BeBi at its relaxed geometry.

Unit cell a=7.632 b=7.632 c=6.450 alpha=90.00 beta=90.00 gamma=90.00
Space group P4/mmm (No. 123)
Symmetry-distinct sites (fractional):
Cs 0.000 0.000 0.000
K 0.000 0.500 0.000
Be 0.500 0.500 0.500
Bi 0.000 0.000 0.500

Results
Calculated volume (Å³ per cell): 375.7
ΔH_f (0 K) (eV/atom): 1.014



[2]
VASP calculation (PBE) on crystalline Cs2NaBeBi2 at its relaxed geometry.

Unit cell a=7.666 b=17.096 c=7.135 alpha=90.00 beta=90.00 gamma=90.00
Space group Ibam (No. 72)
Symmetry-distinct sites (fractional):
Cs 0.240 0.167 0.000
Na 0.000 0.000 0.250
Be 0.000 0.500 0.250
Bi 0.190 0.421 0.000

Results
Calculated volume (Å³ per cell): 935.1
ΔH_f (0 K) (eV/atom): -0.164



[3]
VASP calculation (PBE) on crystalline CsBeBi2O at its relaxed geometry.

Unit cell a=6.878 b=6.878 c=6.520 alpha=90.00 beta=90.00 gamma=90.00
Space group P4/mmm (No. 123)
Symmetry-distinct sites (fractional):
Cs 0.000 0.000 0.000
Be 0.000 0.000 0.500
Bi 0.000 0.500 0.000
O 0.500 0.500 0.500

Results
Calculated volume (Å³ per cell): 308.4
ΔE_f (raw) (eV per atom): 2.0277



[4]
VASP calculation (PBE) on crystalline CsBe4Bi3O12 at its relaxed geometry.

Unit cell a=10.5151 b=10.5151 c=8.5917 alpha=90.00 beta=90.00 gamma=120.00
Space group R32 (No. 155, hexagonal axes)
Symmetry-distinct sites (fractional):
Cs 0.0000 0.0000 0.0000
Be 0.0000 0.0000 0.5000
Be 0.0000 0.4405 0.5000
Bi 0.0000 0.5496 0.0000
O 0.0000 0.5948 0.5000
O 0.0000 0.8498 0.5000
O 0.0215 0.2082 0.2176

Results
Calculated volume (Å³ per cell): 822.7
ΔE_f (raw) (eV per atom): -1.4800



[5]
VASP calculation (PBE) on crystalline Cs4Rb2BeBi2 at its relaxed geometry.

Unit cell a=14.965 b=10.457 c=6.933 alpha=90.00 beta=105.44 gamma=90.00
Space group C2/m (No. 12)
Symmetry-distinct sites (fractional):
Cs 0.122 0.214 0.252
Rb 0.135 0.500 0.808
Be 0.000 0.000 0.500
Bi 0.145 0.000 0.753

Results
Calculated volume (Å³ per cell): 1045.9
ΔH_f (0 K) (eV/atom): -0.115



[6]
VASP calculation (PBE) on crystalline CsBe2BiRh at its relaxed geometry.

Unit cell a=4.771 b=4.771 c=6.145 alpha=90.00 beta=90.00 gamma=90.00
Space group P4/mmm (No. 123)
Symmetry-distinct sites (fractional):
Cs 0.000 0.000 0.000
Be 0.000 0.500 0.000
Bi 0.000 0.000 0.500
Rh 0.500 0.500 0.500

Results
Calculated volume (Å³ per cell): 139.9
ΔH_f (0 K) (eV/atom): 2.524



[7]
VASP calculation (PBE) on crystalline CsBeBiRh2 at its relaxed geometry.

Unit cell a=4.585 b=4.585 c=5.190 alpha=90.00 beta=90.00 gamma=90.00
Space group P4/mmm (No. 123)
Symmetry-distinct sites (fractional):
Cs 0.000 0.000 0.000
Be 0.000 0.000 0.500
Bi 0.500 0.500 0.000
Rh 0.000 0.500 0.500

Results
Calculated volume (Å³ per cell): 109.1
ΔH_f (0 K) (eV/atom): 0.849



[8]
VASP calculation (PBE) on crystalline CsBeBiS3 at its relaxed geometry.

Unit cell a=9.521 b=3.952 c=9.893 alpha=90.00 beta=110.01 gamma=90.00
Space group P2_1/m (No. 11)
Symmetry-distinct sites (fractional):
Cs 0.232 0.250 0.191
Be 0.401 0.750 0.925
Bi 0.146 0.250 0.660
S 0.151 0.750 0.449
S 0.167 0.750 0.866
S 0.476 0.250 0.854

Results
Calculated volume (Å³ per cell): 349.8
ΔE_f (raw) (eV per atom): -0.8319



[9]
VASP calculation (PBE) on crystalline Cs2BeBiSe4 at its relaxed geometry.

Unit cell a=6.395 b=15.077 c=25.137 alpha=90.00 beta=90.00 gamma=90.00
Space group Fddd (No. 70, origin choice 2)
Symmetry-distinct sites (fractional):
Cs 0.125 0.125 0.306
Be 0.125 0.125 0.625
Bi 0.125 0.125 0.125
Se 0.079 0.286 0.820

Results
Calculated volume (Å³ per cell): 2423.8
ΔE_f (raw) (eV per atom): -0.7026



[10]
VASP calculation (PBE) on crystalline Cs2BeZnBi at its relaxed geometry.

Unit cell a=6.916 b=6.916 c=4.473 alpha=90.00 beta=90.00 gamma=90.00
Space group P4/mmm (No. 123)
Symmetry-distinct sites (fractional):
Cs 0.000 0.500 0.000
Be 0.000 0.000 0.500
Zn 0.000 0.000 0.000
Bi 0.500 0.500 0.500

Results
Calculated volume (Å³ per cell): 213.9
ΔH_f (0 K) (eV/atom): 0.409



[11]
VASP calculation (PBE) on crystalline BeCuBi at its relaxed geometry.

Unit cell a=6.711 b=3.881 c=8.332 alpha=90.00 beta=90.10 gamma=90.00
Space group Cm (No. 8)
Symmetry-distinct sites (fractional):
Be 0.000 0.000 0.000
Be 0.167 0.500 0.847
Cu 0.167 0.500 0.107
Cu 0.333 0.000 0.941
Bi 0.333 0.000 0.297
Bi 0.499 0.500 0.665

Results
Calculated volume (Å³ per cell): 217.0
ΔH_f (0 K) (eV/atom): 0.117



[12]
VASP calculation (PBE) on crystalline BeCuBi at its relaxed geometry.

Unit cell a=3.806 b=3.858 c=8.621 alpha=88.09 beta=89.43 gamma=60.86
Space group P1 (No. 1)
Symmetry-distinct sites (fractional):
Be 0.000 0.000 0.000
Be 0.335 0.322 0.112
Cu 0.002 0.987 0.256
Cu 0.667 0.660 0.119
Bi 0.337 0.311 0.444
Bi 0.666 0.672 0.809

Results
Calculated volume (Å³ per cell): 110.5
ΔH_f (0 K) (eV/atom): 0.137



[13]
VASP calculation (PBE) on crystalline BeCuBi at its relaxed geometry.

Unit cell a=3.219 b=3.399 c=10.158 alpha=89.92 beta=84.27 gamma=90.00
Space group P1 (No. 1)
Symmetry-distinct sites (fractional):
Be 0.000 0.000 0.000
Be 0.052 0.501 0.853
Cu 0.500 0.500 0.024
Cu 0.552 0.001 0.829
Bi 0.513 0.999 0.247
Bi 0.536 0.501 0.606

Results
Calculated volume (Å³ per cell): 110.6
ΔH_f (0 K) (eV/atom): 0.106



[14]
VASP calculation (PBE) on crystalline BeCuBi at its relaxed geometry.

Unit cell a=8.075 b=3.811 c=7.083 alpha=90.00 beta=90.00 gamma=90.00
Space group Pnma (No. 62)
Symmetry-distinct sites (fractional):
Be 0.013 0.250 0.077
Cu 0.067 0.250 0.770
Bi 0.173 0.250 0.402

Results
Calculated volume (Å³ per cell): 218.0
ΔH_f (0 K) (eV/atom): 0.259



[15]
VASP calculation (PBE) on crystalline Be2Cu2Bi at its relaxed geometry.

Unit cell a=7.101 b=7.101 c=2.949 alpha=90.00 beta=90.00 gamma=90.00
Space group P4/mbm (No. 127)
Symmetry-distinct sites (fractional):
Be 0.126 0.374 0.000
Cu 0.134 0.634 0.500
Bi 0.000 0.000 0.500

Results
Calculated volume (Å³ per cell): 148.7
ΔH_f (0 K) (eV/atom): 0.422



[16]
VASP calculation (PBE) on crystalline Be3CuBi at its relaxed geometry.

Unit cell a=4.795 b=4.795 c=4.795 alpha=90.00 beta=90.00 gamma=90.00
Space group Pm-3m (No. 221)
Symmetry-distinct sites (fractional):
Be 0.000 0.000 0.500
Cu 0.500 0.500 0.500
Bi 0.000 0.000 0.000

Results
Calculated volume (Å³ per cell): 110.2
ΔH_f (0 K) (eV/atom): 1.679



[17]
VASP calculation (PBE) on crystalline BeCuBi at its relaxed geometry.

Unit cell a=6.679 b=3.838 c=8.926 alpha=90.00 beta=103.82 gamma=90.00
Space group Cm (No. 8)
Symmetry-distinct sites (fractional):
Be 0.000 0.000 0.000
Be 0.118 0.500 0.853
Cu 0.200 0.500 0.107
Cu 0.322 0.000 0.965
Bi 0.224 0.000 0.659
Bi 0.427 0.000 0.293

Results
Calculated volume (Å³ per cell): 222.2
ΔH_f (0 K) (eV/atom): 0.115



[18]
VASP calculation (PBE) on crystalline BeCuBi at its relaxed geometry.

Unit cell a=3.921 b=3.921 c=6.789 alpha=90.00 beta=90.00 gamma=90.00
Space group P4/nmm (No. 129, origin choice 2)
Symmetry-distinct sites (fractional):
Be 0.250 0.750 0.000
Cu 0.250 0.250 0.187
Bi 0.250 0.250 0.685

Results
Calculated volume (Å³ per cell): 104.4
ΔH_f (0 K) (eV/atom): 0.229



[19]
VASP calculation (PBE) on crystalline BeCuBi at its relaxed geometry.

Unit cell a=3.652 b=4.325 c=8.053 alpha=98.39 beta=90.18 gamma=114.96
Space group P1 (No. 1)
Symmetry-distinct sites (fractional):
Be 0.000 0.000 0.000
Be 0.272 0.546 0.907
Cu 0.436 0.868 0.168
Cu 0.722 0.444 0.071
Bi 0.160 0.312 0.344
Bi 0.534 0.075 0.744

Results
Calculated volume (Å³ per cell): 113.8
ΔH_f (0 K) (eV/atom): 0.152



[20]
VASP calculation (PBE) on crystalline BeCuBi at its relaxed geometry.

Unit cell a=6.670 b=3.836 c=8.810 alpha=90.00 beta=104.02 gamma=90.00
Space group Cm (No. 8)
Symmetry-distinct sites (fractional):
Be 0.000 0.000 0.000
Be 0.122 0.500 0.864
Cu 0.205 0.500 0.118
Cu 0.313 0.000 0.938
Bi 0.103 0.000 0.317
Bi 0.397 0.500 0.682

Results
Calculated volume (Å³ per cell): 218.7
ΔH_f (0 K) (eV/atom): 0.106



Number 1: D(E_F) 3.97 states/eV/f.u.. Number 2: D(E_F) 4.28 states/eV/f.u.. Number 3: D(E_F) 6.48 states/eV/f.u.. Number 4: D(E_F) 4.18 states/eV/f.u.. Number 5: D(E_F) 1.75 states/eV/f.u.. Number 6: D(E_F) 5.26 states/eV/f.u.. Number 7: D(E_F) 3.16 states/eV/f.u.. Number 8: D(E_F) 0.00 states/eV/f.u.. Number 9: D(E_F) 5.40 states/eV/f.u.. Number 10: D(E_F) 5.39 states/eV/f.u.. Number 11: D(E_F) 0.91 states/eV/f.u.. Number 12: D(E_F) 0.80 states/eV/f.u.. Number 13: D(E_F) 0.81 states/eV/f.u.. Number 14: D(E_F) 1.18 states/eV/f.u.. Number 15: D(E_F) 1.47 states/eV/f.u.. Number 16: D(E_F) 3.54 states/eV/f.u.. Number 17: D(E_F) 1.14 states/eV/f.u.. Number 18: D(E_F) 0.96 states/eV/f.u.. Number 19: D(E_F) 0.76 states/eV/f.u.. Number 20: D(E_F) 0.97 states/eV/f.u..